# 1
Below is TlRe2Ir at its PBEsol-relaxed geometry, with properties calculated at the meta-GGA SCAN level.

* ΔE to the lowest computed polymorph: 266.5 meV/atom
* density of states at the Fermi level: 0.737 states/eV per atom
* uncorrected energy: -2.58951 Ha/atom
* formation energy: 0.95 eV/atom
* volume: 16.05 Å³/atom

a = 3.0642 Å, b = 4.3932 Å, c = 4.7695 Å
α = 90.00°, β = 90.00°, γ = 90.00°
Space group Pmmm (No. 47)
Inequivalent atoms, fractional coordinates:
Tl  0.0000  0.0000  0.0000 (multiplicity 1)
Re  0.0000  0.5000  0.5000 (multiplicity 1)
Re  0.5000  0.0000  0.5000 (multiplicity 1)
Ir  0.5000  0.5000  0.0000 (multiplicity 1)

# 2
Below is TlRe2Ir at its PBEsol-relaxed geometry, with properties calculated at the meta-GGA SCAN level.

* ΔE to the lowest computed polymorph: 0.0 meV/atom
* density of states at the Fermi level: 0.904 states/eV per atom
* uncorrected energy: -2.59930 Ha/atom
* formation energy: 0.68 eV/atom
* volume: 15.95 Å³/atom

a = 2.7792 Å, b = 2.7792 Å, c = 8.2591 Å
α = 90.00°, β = 90.00°, γ = 90.00°
Space group P4/mmm (No. 123)
Inequivalent atoms, fractional coordinates:
Tl  0.0000  0.0000  0.0000 (multiplicity 1)
Re  0.5000  0.5000  0.2728 (multiplicity 2)
Ir  0.0000  0.0000  0.5000 (multiplicity 1)